HoMgNi2H6: relaxed, PBE-GGA. Values from VASP.

Summary:
- Space group: No. 166

The structure in Quantum ESPRESSO input format:
```
&SYSTEM
  ibrav = 0, nat = 10, ntyp = 4
/
ATOMIC_SPECIES
Ho 164.93 Ho.upf
Mg 24.30 Mg.upf
Ni 58.69 Ni.upf
H 1.01 H.upf
CELL_PARAMETERS angstrom
2.180 1.259 5.120
-2.180 1.259 5.120
0.000 -2.517 5.120
ATOMIC_POSITIONS crystal
Ho 0.000 0.000 0.000
Mg 0.500 0.500 0.500
Ni 0.211 0.211 0.211
Ni 0.789 0.789 0.789
H 0.059 0.565 0.565
H 0.435 0.435 0.941
H 0.435 0.941 0.435
H 0.565 0.059 0.565
H 0.565 0.565 0.059
H 0.941 0.435 0.435
```

SmBS3: relaxed, PBE-GGA. Values from VASP.

Summary:
- E above lowest polymorph: 0.000 eV per atom
- Space group: No. 33
- Formation energy (no corrections): -1.238 eV per atom

The structure in Quantum ESPRESSO input format:
```
&SYSTEM
  ibrav = 0, nat = 20, ntyp = 3
/
ATOMIC_SPECIES
Sm 150.36 Sm.upf
B 10.81 B.upf
S 32.06 S.upf
CELL_PARAMETERS angstrom
7.456 0.000 0.000
0.000 6.052 0.000
0.000 0.000 8.887
ATOMIC_POSITIONS crystal
Sm 0.118 0.064 0.000
Sm 0.382 0.564 0.500
Sm 0.618 0.436 0.000
Sm 0.882 0.936 0.500
B 0.145 0.600 0.830
B 0.355 0.100 0.330
B 0.645 0.900 0.830
B 0.855 0.400 0.330
S 0.003 0.390 0.491
S 0.174 0.833 0.702
S 0.204 0.866 0.301
S 0.296 0.366 0.801
S 0.326 0.333 0.202
S 0.497 0.890 0.991
S 0.503 0.110 0.491
S 0.674 0.667 0.702
S 0.704 0.634 0.301
S 0.796 0.134 0.801
S 0.826 0.167 0.202
S 0.997 0.610 0.991
```

KSc2Hg: relaxed, PBE-GGA. Values from VASP.

Summary:
- Energy of formation: 0.312 eV per atom
- Space group: No. 47

The structure in Quantum ESPRESSO input format:
```
&SYSTEM
  ibrav = 0, nat = 4, ntyp = 3
/
ATOMIC_SPECIES
K 39.10 K.upf
Sc 44.96 Sc.upf
Hg 200.59 Hg.upf
CELL_PARAMETERS angstrom
3.537 0.000 0.000
0.000 5.522 0.000
0.000 0.000 5.577
ATOMIC_POSITIONS crystal
K 0.000 0.000 0.000
Sc 0.000 0.500 0.500
Sc 0.500 0.000 0.500
Hg 0.500 0.500 0.000
```

The records above yield total energy values of -4.067; -5.994; -3.203 eV per atom, respectively.